Entry 1:
Ac3TeRuI | GGA-PBE | relaxed

Fermi-level density of states (states/eV per cell): 7.6
DFT total energy (eV/cell): -60.87

a = 8.9709 Å, b = 4.4005 Å, c = 11.3756 Å
α = 90.00°, β = 111.78°, γ = 90.00°
Last column: nearest neighbours and their distance in Å.
Space group P2_1/m (No. 11)
Unique sites:
Ac  0.0178  0.2500  0.3632 (multiplicity 2)  3 Ru 3.07-3.09
Ac  0.1837  0.2500  0.9882 (multiplicity 2)  3 I 3.34-3.69, 3 Te 3.38-3.54
Ac  0.3983  0.7500  0.5926 (multiplicity 2)  2 Ru 2.90
Te  0.2224  0.7500  0.2229 (multiplicity 2)  5 Ac 3.38-3.60
Ru  0.2257  0.2500  0.6495 (multiplicity 2)  5 Ac 2.90-3.09, 2 I 3.24
I  0.3732  0.7500  0.8717 (multiplicity 2)  2 Ru 3.24, 4 Ac 3.26-3.53

=====

Entry 2:
Cu2SiAs | GGA-PBE | relaxed

Fermi-level density of states (states/eV per cell): 7.9
DFT total energy (eV/cell): -70.74

a = 4.0042 Å, b = 4.0042 Å, c = 15.5909 Å
α = 90.00°, β = 90.00°, γ = 90.00°
Last column: nearest neighbours and their distance in Å.
Space group I-42d (No. 122)
Unique sites:
Cu  0.2193  0.2500  0.1250 (multiplicity 8)  2 Si 2.36, 2 As 2.46
Si  0.0000  0.0000  0.0000 (multiplicity 4)  4 Cu 2.36
As  0.0000  0.0000  0.5000 (multiplicity 4)  4 Cu 2.46

=====

Entry 3:
K2SiTe | GGA-PBE | relaxed

Fermi-level density of states (states/eV per cell): 1.6
Excess energy over the best structure of this formula in the dataset (meV/atom): 172

a = 4.9076 Å, b = 4.9076 Å, c = 26.3982 Å
α = 90.00°, β = 90.00°, γ = 120.00°
Last column: nearest neighbours and their distance in Å.
Space group R3m (No. 160, hexagonal axes)
Unique sites:
K  0.0000  0.0000  0.0000 (multiplicity 3)  3 Te 3.53, 3 Si 3.79
K  0.0000  0.0000  0.1736 (multiplicity 3)  3 Si 3.51, 3 Te 3.77
Si  0.0000  0.0000  0.4286 (multiplicity 3)  3 Te 2.86
Te  0.0000  0.0000  0.7461 (multiplicity 3)  3 Si 2.86

=====

Here are the calculated magnetic moment numbers, same order: 0.002 0.000 0.000 (μB per formula unit).